Entry 1:
Below is a geometry-optimized Ce2HfSb3 structure, with properties calculated at the PBE-GGA level.

```
Ce2HfSb3
1.0
-2.187 2.187 9.178
2.187 -2.187 9.178
2.187 2.187 -9.178
Ce Hf Sb
2 1 3
Direct
0.168 0.168 0.000 Ce
0.832 0.832 0.000 Ce
0.500 0.500 0.000 Hf
0.000 0.000 0.000 Sb
0.341 0.341 0.000 Sb
0.659 0.659 0.000 Sb
```

Computed properties:
Formation energy without anion corrections: -0.76 eV per atom
Space-group type: I4/mmm (139)


Entry 2:
Below is a geometry-optimized Sr3Ce2HfSb6 structure, with properties calculated at the PBE-GGA level.

```
Sr3Ce2HfSb6
1.0
3.899 -6.760 0.000
3.899 6.760 0.000
-2.614 0.000 7.574
Sr Ce Hf Sb
3 2 1 6
Direct
0.000 0.000 0.000 Sr
0.329 0.671 0.000 Sr
0.671 0.329 0.000 Sr
0.166 0.834 0.500 Ce
0.834 0.166 0.500 Ce
0.500 0.500 0.500 Hf
0.109 0.428 0.282 Sb
0.256 0.256 0.721 Sb
0.428 0.109 0.282 Sb
0.572 0.891 0.718 Sb
0.744 0.744 0.279 Sb
0.891 0.572 0.718 Sb
```

Computed properties:
Formation energy without anion corrections: -0.91 eV per atom
Space-group type: C2/m (12)


Entry 3:
Below is a geometry-optimized CeHfSc3 structure, with properties calculated at the PBE-GGA level.

```
CeHfSc3
1.0
9.364 0.000 0.000
0.000 3.232 0.000
0.000 0.000 16.180
Ce Hf Sc
4 4 12
Direct
0.129 0.250 0.149 Ce
0.371 0.750 0.649 Ce
0.629 0.250 0.351 Ce
0.871 0.750 0.851 Ce
0.116 0.250 0.548 Hf
0.384 0.750 0.048 Hf
0.616 0.250 0.952 Hf
0.884 0.750 0.452 Hf
0.119 0.250 0.354 Sc
0.121 0.250 0.750 Sc
0.131 0.250 0.954 Sc
0.369 0.750 0.454 Sc
0.379 0.750 0.250 Sc
0.381 0.750 0.854 Sc
0.619 0.250 0.146 Sc
0.621 0.250 0.750 Sc
0.631 0.250 0.546 Sc
0.869 0.750 0.046 Sc
0.879 0.750 0.250 Sc
0.881 0.750 0.646 Sc
```

Computed properties:
Energy relative to the lowest polymorph listed for this composition: 0 meV per atom
Formation enthalpy at 0 K: 0.0626 eV per atom
Space-group type: Pnma (62)


Entry 4:
Below is a geometry-optimized CeHfSc6 structure, with properties calculated at the PBE-GGA level.

```
CeHfSc6
1.0
4.641 -4.650 0.000
4.641 4.650 0.000
0.000 0.000 4.550
Ce Hf Sc
1 1 6
Direct
0.000 0.000 0.000 Ce
0.500 0.500 0.000 Hf
0.000 0.500 0.000 Sc
0.258 0.258 0.500 Sc
0.259 0.741 0.500 Sc
0.500 0.000 0.000 Sc
0.741 0.259 0.500 Sc
0.742 0.742 0.500 Sc
```

Computed properties:
Formation enthalpy at 0 K: 0.0711 eV per atom
Space-group type: Cmmm (65)


no.,energy (eV/f.u.)
1,-38.77
2,-62.56
3,-34.57
4,-53.31